[1]
CePbAu: relaxed, GGA-PBEsol. Values from VASP.

Calculated values
The calculation puts the volume at 23.6 Å³/atom. Its formation enthalpy at 0 K is -1.36 eV per formula unit. For the density of states at the Fermi level, the calculation gives 12.4 states/eV/cell. As for the symmetry: P6_3/mmc.

The structure in Quantum ESPRESSO input format:
```
&SYSTEM
  ibrav = 0, nat = 6, ntyp = 3
/
ATOMIC_SPECIES
Ce 140.12 Ce.upf
Pb 207.20 Pb.upf
Au 196.97 Au.upf
CELL_PARAMETERS angstrom
4.9691 0.0000 0.0000
-2.4845 4.3033 0.0000
0.0000 0.0000 6.6219
ATOMIC_POSITIONS crystal
Ce 0.0000 0.0000 0.0000
Ce 0.0000 0.0000 0.5000
Pb 0.3333 0.6667 0.7500
Pb 0.6667 0.3333 0.2500
Au 0.3333 0.6667 0.2500
Au 0.6667 0.3333 0.7500
```

[2]
CePt2Au3: relaxed, GGA-PBEsol. Values from VASP.

Calculated values
The calculation puts the volume at 18.3 Å³/atom. Its formation enthalpy at 0 K is -3.35 eV per formula unit. For the density of states at the Fermi level, the calculation gives 6.0 states/eV/cell. As for the symmetry: Imm2.

The structure in Quantum ESPRESSO input format:
```
&SYSTEM
  ibrav = 0, nat = 6, ntyp = 3
/
ATOMIC_SPECIES
Au 196.97 Au.upf
Pt 195.08 Pt.upf
Ce 140.12 Ce.upf
CELL_PARAMETERS angstrom
-2.6178 -4.4197 -1.5589
5.1978 -0.3367 1.2985
-1.0841 -3.8681 3.5608
ATOMIC_POSITIONS crystal
Au 0.2490 0.3767 0.3743
Au 0.7510 0.3767 0.8723
Au 0.5000 0.7516 0.7484
Pt 0.7506 0.3762 0.3744
Pt 0.2494 0.8751 0.3744
Ce 0.0000 0.9937 0.0063
```

[3]
CeUPt8Au2: relaxed, GGA-PBEsol. Values from VASP.

Calculated values
The calculation puts the volume at 17.3 Å³/atom. Its formation enthalpy at 0 K is -7.58 eV per formula unit. For the density of states at the Fermi level, the calculation gives 7.5 states/eV/cell. As for the symmetry: R3m.

The structure in Quantum ESPRESSO input format:
```
&SYSTEM
  ibrav = 0, nat = 12, ntyp = 4
/
ATOMIC_SPECIES
Ce 140.12 Ce.upf
U 238.03 U.upf
Pt 195.08 Pt.upf
Au 196.97 Au.upf
CELL_PARAMETERS angstrom
5.2714 0.0000 0.0000
2.6357 4.5652 0.0000
2.6357 1.5217 8.6118
ATOMIC_POSITIONS crystal
Ce 0.9999 0.9999 0.0002
U 0.5002 0.5002 0.4995
Pt 0.4365 0.9366 0.1903
Pt 0.9370 0.4405 0.6855
Pt 0.9366 0.4365 0.1903
Pt 0.4405 0.9370 0.6855
Pt 0.1877 0.1877 0.4369
Pt 0.6876 0.6876 0.9371
Pt 0.4365 0.4365 0.1903
Pt 0.9370 0.9370 0.6855
Au 0.8744 0.8744 0.3769
Au 0.3760 0.3760 0.8721
```

[4]
CeSb2Au: relaxed, GGA-PBEsol. Values from VASP.

Calculated values
The calculation puts the volume at 23.7 Å³/atom. For the density of states at the Fermi level, the calculation gives 8.2 states/eV/cell. Its uncorrected formation energy is -0.7143 eV/atom. As for the symmetry: P4/nmm.

The structure in Quantum ESPRESSO input format:
```
&SYSTEM
  ibrav = 0, nat = 8, ntyp = 3
/
ATOMIC_SPECIES
Sb 121.76 Sb.upf
Au 196.97 Au.upf
Ce 140.12 Ce.upf
CELL_PARAMETERS angstrom
4.3975 0.0000 0.0000
0.0000 4.3975 0.0000
0.0000 0.0000 9.8243
ATOMIC_POSITIONS crystal
Sb 0.0000 0.0000 0.5000
Sb 0.5000 0.5000 0.5000
Sb 0.0000 0.5000 0.8134
Sb 0.5000 0.0000 0.1866
Au 0.0000 0.0000 0.0000
Au 0.5000 0.5000 0.0000
Ce 0.0000 0.5000 0.2530
Ce 0.5000 0.0000 0.7470
```

[5]
Ce2SbAu3: relaxed, GGA-PBEsol. Values from VASP.

Calculated values
The calculation puts the volume at 22.4 Å³/atom. For the density of states at the Fermi level, the calculation gives 11.4 states/eV/cell. Its uncorrected formation energy is -0.6819 eV/atom. As for the symmetry: Pmm2.

The structure in Quantum ESPRESSO input format:
```
&SYSTEM
  ibrav = 0, nat = 6, ntyp = 3
/
ATOMIC_SPECIES
Ce 140.12 Ce.upf
Sb 121.76 Sb.upf
Au 196.97 Au.upf
CELL_PARAMETERS angstrom
-0.8833 1.3559 -3.0627
-3.8828 -2.6535 -0.0549
-4.1546 5.9998 3.8546
ATOMIC_POSITIONS crystal
Ce 0.0000 0.0000 0.9838
Ce 0.0000 0.5000 0.5177
Sb 0.5000 0.0000 0.3323
Au 0.5000 0.5000 0.8346
Au 0.5000 0.5000 0.1630
Au 0.5000 0.0000 0.6686
```

[6]
Ce3Sb3Au2: relaxed, GGA-PBEsol. Values from VASP.

Calculated values
The calculation puts the volume at 26.2 Å³/atom. For the density of states at the Fermi level, the calculation gives 42.6 states/eV/cell. Its uncorrected formation energy is -0.8237 eV/atom. As for the symmetry: P6_3/mmc.

The structure in Quantum ESPRESSO input format:
```
&SYSTEM
  ibrav = 0, nat = 16, ntyp = 3
/
ATOMIC_SPECIES
Ce 140.12 Ce.upf
Sb 121.76 Sb.upf
Au 196.97 Au.upf
CELL_PARAMETERS angstrom
4.5773 0.0000 0.0000
-2.2886 3.9640 0.0000
0.0000 0.0000 23.1438
ATOMIC_POSITIONS crystal
Ce 0.6667 0.3333 0.5749
Ce 0.3333 0.6667 0.4251
Ce 0.3333 0.6667 0.0749
Ce 0.6667 0.3333 0.9251
Ce 0.3333 0.6667 0.2500
Ce 0.6667 0.3333 0.7500
Sb 0.3333 0.6667 0.8468
Sb 0.0000 0.0000 0.0000
Sb 0.6667 0.3333 0.1532
Sb 0.3333 0.6667 0.6532
Sb 0.6667 0.3333 0.3468
Sb 0.0000 0.0000 0.5000
Au 0.0000 0.0000 0.6865
Au 0.0000 0.0000 0.3135
Au 0.0000 0.0000 0.1865
Au 0.0000 0.0000 0.8135
```

[7]
CeSi2Au4: relaxed, GGA-PBEsol. Values from VASP.

Calculated values
The calculation puts the volume at 18.0 Å³/atom. For the density of states at the Fermi level, the calculation gives 6.3 states/eV/cell. Its uncorrected formation energy is -0.4852 eV/atom. As for the symmetry: Cmmm.

The structure in Quantum ESPRESSO input format:
```
&SYSTEM
  ibrav = 0, nat = 7, ntyp = 3
/
ATOMIC_SPECIES
Ce 140.12 Ce.upf
Si 28.09 Si.upf
Au 196.97 Au.upf
CELL_PARAMETERS angstrom
-2.1983 -3.1689 -1.8568
2.4387 -2.8826 2.0323
-3.1893 -1.4639 6.2742
ATOMIC_POSITIONS crystal
Ce 0.0000 0.0000 0.0000
Si 0.5000 0.5845 0.8310
Si 0.5000 0.4155 0.1690
Au 0.5000 0.1754 0.6491
Au 0.0000 0.3245 0.3510
Au 0.5000 0.8246 0.3509
Au 0.0000 0.6755 0.6490
```

[8]
CeSi2Au2: relaxed, GGA-PBEsol. Values from VASP.

Calculated values
The calculation puts the volume at 18.4 Å³/atom. For the density of states at the Fermi level, the calculation gives 5.6 states/eV/cell. Its uncorrected formation energy is -0.6294 eV/atom. As for the symmetry: I4/mmm.

The structure in Quantum ESPRESSO input format:
```
&SYSTEM
  ibrav = 0, nat = 5, ntyp = 3
/
ATOMIC_SPECIES
Si 28.09 Si.upf
Au 196.97 Au.upf
Ce 140.12 Ce.upf
CELL_PARAMETERS angstrom
-2.7152 2.5650 2.0432
-3.1178 -1.1967 -2.6408
1.7063 -4.4699 3.4431
ATOMIC_POSITIONS crystal
Si 0.3863 0.3863 0.7726
Si 0.6137 0.6137 0.2274
Au 0.7500 0.2500 0.5000
Au 0.2500 0.7500 0.5000
Ce 0.0000 0.0000 0.0000
```

| no. | size of the total moment (Bohr magnetons per cell) |
| --- | --- |
| 1 | 1.90 |
| 2 | 0.62 |
| 3 | 1.09 |
| 4 | 1.02 |
| 5 | 1.52 |
| 6 | 5.67 |
| 7 | 0.62 |
| 8 | 0.59 |